[1]
Compound: LiCrCuH6
Source: the Alexandria database
Functional: GGA-PBE
Structure: relaxed

The calculation puts the total energy at -3.854 eV/atom. For the calculated volume, the calculation gives 138 Å³ per cell.

Unit cell a=4.073 b=4.073 c=8.311 alpha=90.00 beta=90.00 gamma=90.00
Each line ends with the local moment (μB).
Fractional coordinates of all 18 atoms:
H 0.802 0.198 0.819  -0.01
Cr 0.500 0.500 0.835  2.89
H 0.201 0.799 0.176  -0.01
H 0.322 0.322 0.005  -0.01
H 0.302 0.302 0.319  -0.01
H 0.698 0.698 0.319  -0.01
Li 0.000 0.000 0.996  -0.01
H 0.799 0.201 0.176  -0.01
Li 0.500 0.500 0.496  -0.01
H 0.678 0.678 0.005  -0.01
H 0.198 0.802 0.819  -0.01
H 0.178 0.822 0.505  -0.01
Cu 0.000 0.000 0.670  0.03
H 0.701 0.701 0.676  -0.01
Cr 0.000 0.000 0.335  2.89
H 0.299 0.299 0.676  -0.01
Cu 0.500 0.500 0.170  0.03
H 0.822 0.178 0.505  -0.01

---

[2]
Compound: Ba2NaCd3Ge4
Source: the Alexandria database
Functional: GGA-PBE
Structure: relaxed

The calculated formation energy comes out at -2.92 eV/f.u. The calculation puts the total energy at -2.930 eV/atom. For the calculated volume, the calculation gives 266 Å³ per cell.

Unit cell a=4.759 b=4.759 c=11.743 alpha=90.00 beta=90.00 gamma=90.00
Fractional coordinates of all 10 atoms:
Cd 0.000 0.500 0.131
Ba 0.000 0.500 0.753
Ge 0.500 0.500 0.000
Ge 0.500 0.000 0.640
Cd 0.000 0.000 0.500
Ge 0.000 0.000 0.000
Ge 0.000 0.500 0.360
Na 0.500 0.500 0.500
Cd 0.500 0.000 0.869
Ba 0.500 0.000 0.247

---

[3]
Compound: Ho4Er3ScS8
Source: the Alexandria database
Functional: GGA-PBE
Structure: relaxed

The calculation puts the formation energy without anion corrections at -188 kJ/mol of atoms. The calculation puts the total energy at -6.403 eV/atom. For the calculated volume, the calculation gives 324 Å³ per cell.

Unit cell a=7.708 b=7.715 c=7.709 alpha=119.97 beta=120.00 gamma=90.00
Fractional coordinates of all 16 atoms:
Sc 0.000 0.500 0.000
S 0.755 0.256 0.001
S 0.753 0.744 0.999
S 0.251 0.252 0.501
Er 0.500 0.500 0.000
S 0.749 0.748 0.499
S 0.245 0.744 0.999
Ho 0.500 0.000 0.000
S 0.247 0.256 0.001
Ho 0.000 0.000 0.500
Er 0.500 0.500 0.500
Ho 0.500 0.000 0.500
Ho 0.000 0.000 0.000
S 0.755 0.256 0.509
Er 0.000 0.500 0.500
S 0.245 0.744 0.491